No. 1
A relaxed structure of Pm4PrRh. Source: Alexandria, functional GGA-PBE.

Lattice parameters (Å, degrees): 6.047 7.642 9.571 113.53 108.45 90.00
Positions (direct):
Pm  0.171  0.670  0.341
Pm  0.385  0.133  0.769
Pm  0.000  0.206  0.000
Pm  0.615  0.364  0.231
Pm  0.829  0.330  0.659
Pm  0.615  0.867  0.231
Pm  0.000  0.794  0.000
Pm  0.385  0.636  0.769
Pr  0.801  0.801  0.602
Pr  0.199  0.199  0.398
Rh  0.268  0.500  0.000
Rh  0.732  0.500  0.000

Properties
E_tot, eV/atom: -5.392
Size of the total moment, μB/cell: 0.000

---

No. 2
A relaxed structure of Tm2PaN4. Source: Alexandria, functional GGA-PBE.

Lattice parameters (Å, degrees): 3.548 5.807 9.673 90.00 90.00 90.00
Each line ends with the local moment (μB).
Positions (direct):
Tm  0.500  0.941  0.825  0.00
Tm  0.500  0.059  0.175  0.00
Tm  0.500  0.441  0.675  0.00
Tm  0.500  0.559  0.325  0.00
Pa  0.000  0.000  0.500  0.18
Pa  0.000  0.500  0.000  0.18
N  0.000  0.660  0.795  0.18
N  0.000  0.340  0.205  0.18
N  0.000  0.160  0.705  0.18
N  0.000  0.840  0.295  0.18
N  0.500  0.758  0.539  0.04
N  0.500  0.242  0.461  0.04
N  0.500  0.742  0.039  0.04
N  0.500  0.258  0.961  0.04

Properties
Size of the total moment, μB/cell: 1.514
ΔE_f (raw), eV/atom: -1.53

---

No. 3
A relaxed structure of PmPaPtAu. Source: Alexandria, functional GGA-PBE.

Lattice parameters (Å, degrees): 5.087 5.087 5.087 60.00 60.00 60.00
Each line ends with the local moment (μB).
Positions (direct):
Pa  0.000  0.000  0.000  0.76
Au  0.250  0.250  0.250  0.01
Pt  0.750  0.750  0.750  -0.02
Pm  0.500  0.500  0.500  0.10

Properties
E_tot, eV/atom: -6.514
Size of the total moment, μB/cell: 1.042

---

No. 4
A relaxed structure of Rb2TlHgS. Source: Alexandria, functional GGA-PBE.

Lattice parameters (Å, degrees): 6.297 6.297 6.071 90.00 90.00 90.00
Positions (direct):
S  0.000  0.000  0.000
Tl  0.000  0.000  0.500
Hg  0.500  0.500  0.500
Rb  0.000  0.500  0.000
Rb  0.500  0.000  0.000

Properties
Size of the total moment, μB/cell: 0.000
ΔE_f (raw), eV/atom: -0.36

---

No. 5
A relaxed structure of CsSbPHPt. Source: Alexandria, functional GGA-PBE.

Lattice parameters (Å, degrees): 6.302 4.284 7.103 88.46 71.85 49.97
Positions (direct):
Cs  0.089  0.982  0.976
Sb  0.409  0.107  0.366
P  0.670  0.935  0.617
Pt  0.057  0.924  0.492
H  0.773  0.498  0.621

Properties
Offset from the most stable computed form, eV per formula unit: 0.55
Size of the total moment, μB/cell: 0.000

---

No. 6
A relaxed structure of YSi2Ni2Pt. Source: Alexandria, functional GGA-PBE.

Lattice parameters (Å, degrees): 4.543 4.543 5.407 90.00 90.00 90.00
Positions (direct):
Y  0.000  0.000  0.500
Si  0.500  0.000  0.000
Si  0.000  0.500  0.000
Ni  0.500  0.500  0.763
Ni  0.500  0.500  0.237
Pt  0.000  0.000  0.000

Properties
Size of the total moment, μB/cell: 0.000
ΔE_f (raw), eV/atom: -0.10

---

No. 7
A relaxed structure of CePrY2Se4. Source: Alexandria, functional GGA-PBE.

Lattice parameters (Å, degrees): 4.114 7.311 7.162 71.14 90.00 90.00
Each line ends with the local moment (μB).
Positions (direct):
Ce  0.500  0.500  0.000  0.83
Pr  0.000  0.500  0.500  0.02
Y  0.000  0.000  0.000  0.01
Y  0.500  0.000  0.500  0.00
Se  0.000  0.763  0.748  -0.01
Se  0.000  0.237  0.252  -0.01
Se  0.500  0.764  0.243  0.00
Se  0.500  0.236  0.757  0.00

Properties
Size of the total moment, μB/cell: 1.061
ΔE_f (raw), eV/atom: -1.81

---

No. 8
A relaxed structure of Tb4InHg. Source: Alexandria, functional GGA-PBE.

Lattice parameters (Å, degrees): 3.598 3.598 13.275 90.00 90.00 90.00
Positions (direct):
Tb  0.000  0.000  0.659
Tb  0.500  0.500  0.849
Tb  0.500  0.500  0.151
Tb  0.000  0.000  0.341
In  0.500  0.500  0.500
Hg  0.000  0.000  0.000

Properties
Offset from the most stable computed form, eV per formula unit: 0.00
Size of the total moment, μB/cell: 0.002

---

No. 9
A relaxed structure of ScMn3Pt6. Source: Alexandria, functional GGA-PBE.

Lattice parameters (Å, degrees): 4.061 8.522 9.045 93.90 90.00 90.00
Each line ends with the local moment (μB).
Positions (direct):
Sc  0.250  0.939  0.617  0.00
Sc  0.750  0.061  0.383  0.00
Mn  0.250  0.555  0.397  3.77
Mn  0.750  0.445  0.603  3.77
Mn  0.250  0.346  0.810  3.83
Mn  0.750  0.654  0.190  3.83
Mn  0.250  0.750  0.980  3.83
Mn  0.750  0.250  0.020  3.83
Pt  0.250  0.461  0.102  0.32
Pt  0.750  0.539  0.898  0.32
Pt  0.250  0.156  0.206  0.10
Pt  0.750  0.844  0.794  0.10
Pt  0.250  0.627  0.690  0.26
Pt  0.750  0.373  0.310  0.26
Pt  0.250  0.258  0.510  0.19
Pt  0.750  0.742  0.490  0.19
Pt  0.250  0.844  0.293  0.19
Pt  0.750  0.156  0.707  0.19
Pt  0.250  0.061  0.907  0.20
Pt  0.750  0.939  0.093  0.20

Properties
E_tot, eV/atom: -7.596
Size of the total moment, μB/cell: 26.296

---

No. 10
A relaxed structure of ZrNb3S6. Source: Alexandria, functional GGA-PBE.

Lattice parameters (Å, degrees): 7.348 7.348 7.348 87.81 87.81 87.81
Positions (direct):
Zr  0.000  0.000  0.000
Zr  0.500  0.500  0.500
Nb  0.383  0.907  0.769
Nb  0.907  0.769  0.383
Nb  0.231  0.617  0.093
Nb  0.769  0.383  0.907
Nb  0.093  0.231  0.617
Nb  0.617  0.093  0.231
S  0.337  0.933  0.102
S  0.067  0.898  0.663
S  0.591  0.831  0.466
S  0.898  0.663  0.067
S  0.466  0.591  0.831
S  0.169  0.534  0.409
S  0.831  0.466  0.591
S  0.534  0.409  0.169
S  0.102  0.337  0.933
S  0.409  0.169  0.534
S  0.933  0.102  0.337
S  0.663  0.067  0.898

Properties
Size of the total moment, μB/cell: 0.000
ΔE_f (raw), eV/atom: -0.90

---

No. 11
A relaxed structure of CaPuAsN. Source: Alexandria, functional GGA-PBE.

Lattice parameters (Å, degrees): 4.797 4.797 4.296 90.00 90.00 120.00
Each line ends with the local moment (μB).
Positions (direct):
Ca  0.000  0.000  0.532  0.03
Pu  0.333  0.667  0.032  4.34
As  0.667  0.333  0.032  -0.12
N  0.333  0.667  0.532  -0.27

Properties
Size of the total moment, μB/cell: 3.998
ΔE_f (raw), eV/atom: -0.82

---

No. 12
A relaxed structure of Y2NiGeC. Source: Alexandria, functional GGA-PBE.

Lattice parameters (Å, degrees): 4.985 4.985 3.700 90.00 90.00 90.00
Positions (direct):
Y  0.000  0.500  0.000
Y  0.500  0.000  0.000
Ni  0.000  0.000  0.500
Ge  0.500  0.500  0.500
C  0.000  0.000  0.000

Properties
E_tot, eV/atom: -6.985
Size of the total moment, μB/cell: 0.001